Ho2WO6, relaxed, DFT GGA+U; polymorph energy (0 for the lowest one) = 31.7 meV/atom; total magnetization = 0.00 Bohr magnetons per cell; energy = -8.0949 eV per atom; space-group type = C2/c (15)
1.0
9.6759 -0.1280 -0.1094
3.4560 9.0385 -0.1094
1.2283 0.8334 5.1895
O Ho W
24 8 4
Cartesian
10.4979 3.5211 4.6748
2.4124 1.4407 4.7531
2.2292 4.4135 1.1075
12.1309 5.3304 3.8632
6.3717 3.7343 2.3469
9.6698 3.6679 2.0079
4.6903 6.0761 2.9627
4.2601 3.4667 4.3897
10.1000 6.2773 0.5810
6.7649 1.6968 0.3680
5.5390 0.8575 3.7022
6.4383 4.9578 4.9417
11.9477 8.3032 0.2175
3.8622 6.2229 0.2959
6.5364 8.0375 2.0800
12.7441 8.4513 2.8123
1.6160 1.2927 2.1584
4.1812 2.2611 1.7949
7.8237 1.7064 2.8906
7.9218 4.7861 0.0290
10.1789 7.4829 3.1758
7.9884 6.0097 2.6237
8.8211 8.8865 1.2684
7.5952 8.0472 4.6027
9.3143 1.0658 1.1879
5.0458 8.6782 3.7827
11.2602 9.1290 4.4138
8.2452 3.9631 3.7827
3.0999 0.6149 0.5569
6.1149 5.7808 1.1879
2.3309 3.0701 3.1516
12.0292 6.6739 1.8190
4.6124 5.2859 4.6705
8.3582 7.8276 2.8950
9.7477 4.4581 0.3002
6.0019 1.9164 2.0757